Density functional theory data (PBE-GGA) for La2PRh after structural relaxation.

a b c (Å): 4.2175 4.2175 20.9520
angles (deg): 90.00 90.00 120.00
Last column: nearest neighbours and their distance in Å.
Space group R-3m (No. 166, hexagonal axes)
Inequivalent atoms, fractional coordinates:
La 0.0000 0.0000 0.2486 (multiplicity 6)  3 Rh 2.98, 3 P 3.01
P 0.0000 0.0000 0.0000 (multiplicity 3)  6 La 3.01
Rh 0.0000 0.0000 0.5000 (multiplicity 3)  6 La 2.98

- E_tot: -6.6781 eV/atom
- Calculated volume: 322.7 Å³ per cell
- Magnetization: 0.00 Bohr magnetons per cell
- Density: 6354 kg/m³

Density functional theory data (PBE-GGA) for LaOs2Ru after structural relaxation.

a b c (Å): 4.8454 4.8454 3.0342
angles (deg): 90.00 90.00 90.00
Last column: nearest neighbours and their distance in Å.
Space group P4/mmm (No. 123)
Inequivalent atoms, fractional coordinates:
La 0.0000 0.0000 0.0000 (multiplicity 1)  8 Os 2.86, 2 La 3.03
Os 0.0000 0.5000 0.5000 (multiplicity 2)  4 Ru 2.86, 4 La 2.86, 2 Os 3.03
Ru 0.5000 0.5000 0.0000 (multiplicity 1)  8 Os 2.86, 2 Ru 3.03

- Calculated volume: 71.2 Å³ per cell
- Energy above the lowest structure with this stoichiometry: 1.71 eV/f.u.
- Magnetization: 0.01 Bohr magnetons per cell
- Density: 14463 kg/m³

Density functional theory data (PBE-GGA) for Tb2GaPd6 after structural relaxation.

a b c (Å): 13.3499 7.5944 3.6773
angles (deg): 90.00 105.91 90.00
Last column: nearest neighbours and their distance in Å.
Space group C2/m (No. 12)
Inequivalent atoms, fractional coordinates:
Tb 0.1506 0.0000 0.1519 (multiplicity 4)  8 Pd 2.84-2.90
Ga 0.0000 0.5000 0.5000 (multiplicity 2)  8 Pd 2.50-2.64
Pd 0.0000 0.2777 0.0000 (multiplicity 4)  2 Ga 2.50
Pd 0.1654 0.2933 0.6658 (multiplicity 8)  1 Ga 2.64, 4 Pd 2.81-2.92, 3 Tb 2.84-2.90

- E_tot: -5.3958 eV/atom
- Calculated volume: 358.5 Å³ per cell
- Magnetization: 0.00 Bohr magnetons per cell
- Density: 9504 kg/m³

Density functional theory data (PBE-GGA) for BaSnO3 after structural relaxation.

a b c (Å): 4.5981 4.5981 18.5547
angles (deg): 90.00 90.00 90.00
Last column: nearest neighbours and their distance in Å.
Space group I-4m2 (No. 119)
Inequivalent atoms, fractional coordinates:
Ba 0.0000 0.0000 0.1021 (multiplicity 4)  6 O 2.80-2.86
Sn 0.0000 0.0000 0.5000 (multiplicity 2)  4 O 2.32
Sn 0.0000 0.5000 0.2500 (multiplicity 2)  4 O 1.99
O 0.0000 0.2339 0.3343 (multiplicity 8)  1 Sn 1.99, 1 O 2.15
O 0.0000 0.5000 0.5156 (multiplicity 4)  2 Sn 2.32

- Energy relative to the elements, uncorrected: -1.427 eV/atom
- Calculated volume: 392.3 Å³ per cell
- Magnetization: 0.00 Bohr magnetons per cell
- Density: 5148 kg/m³

Density functional theory data (PBE-GGA) for Nb3PtO after structural relaxation.

a b c (Å): 4.8951 4.8951 4.8951
angles (deg): 90.00 90.00 90.00
Last column: nearest neighbours and their distance in Å.
Space group Pm-3m (No. 221)
Inequivalent atoms, fractional coordinates:
Nb 0.0000 0.0000 0.5000 (multiplicity 3)  2 Pt 2.45
Pt 0.0000 0.0000 0.0000 (multiplicity 1)  6 Nb 2.45
O 0.5000 0.5000 0.5000 (multiplicity 1)  12 Nb 3.46

- Energy relative to the elements, uncorrected: 1.498 eV/atom
- Calculated volume: 117.3 Å³ per cell
- Magnetization: 0.00 Bohr magnetons per cell
- Density: 6934 kg/m³

Density functional theory data (PBE-GGA) for Li2MoN4 after structural relaxation.

a b c (Å): 3.9959 3.9959 10.8279
angles (deg): 90.00 90.00 90.00
Last column: nearest neighbours and their distance in Å.
Space group I4/mmm (No. 139)
Inequivalent atoms, fractional coordinates:
Li 0.0000 0.0000 0.1282 (multiplicity 4)  1 N 2.02
Mo 0.0000 0.0000 0.5000 (multiplicity 2)  6 N 2.00
N 0.0000 0.0000 0.3149 (multiplicity 4)  1 Mo 2.00, 1 Li 2.02
N 0.0000 0.5000 0.0000 (multiplicity 4)  2 Mo 2.00

- Energy relative to the elements, uncorrected: 0.545 eV/atom
- Calculated volume: 172.9 Å³ per cell
- Magnetization: 7.74 Bohr magnetons per cell
- Density: 3186 kg/m³